Entry 1:
# Tm5F, optimized geometry, DFT GGA-PBE
data_Tm5F
_chemical_formula_sum 'Tm5 F1'
_space_group_name_H-M_alt 'P 6/m m m'
_space_group_IT_number 191
_space_group_name_Hall '-P 6 2'
_cell_length_a 6.1893
_cell_length_b 6.1893
_cell_length_c 5.8650
_cell_angle_alpha 90.00
_cell_angle_beta 90.00
_cell_angle_gamma 120.00
loop_
_atom_site_label
_atom_site_type_symbol
_atom_site_fract_x
_atom_site_fract_y
_atom_site_fract_z
Tm1 Tm 0.0000 0.5000 0.0000
Tm2 Tm 0.3333 0.6667 0.5000
F1 F 0.0000 0.0000 0.5000
# E_tot ... -21.7 eV per formula unit

Entry 2:
# Cd3IrO6, optimized geometry, DFT GGA-PBE
data_Cd3IrO6
_chemical_formula_sum 'Cd6 Ir2 O12'
_space_group_name_H-M_alt 'P 1 21/c 1'
_space_group_IT_number 14
_space_group_name_Hall '-P 2ybc'
_cell_length_a 5.548
_cell_length_b 5.655
_cell_length_c 9.735
_cell_angle_alpha 90.00
_cell_angle_beta 124.29
_cell_angle_gamma 90.00
loop_
_atom_site_label
_atom_site_type_symbol
_atom_site_fract_x
_atom_site_fract_y
_atom_site_fract_z
Cd1 Cd 0.000 0.000 0.000
Cd2 Cd 0.244 0.044 0.741
Ir1 Ir 0.500 0.000 0.500
O1 O 0.162 0.077 0.274
O2 O 0.248 0.667 0.046
O3 O 0.420 0.214 0.078
# E_tot ... -49.7 eV per formula unit

Entry 3:
# Dy2ErTm4Ni2Te2, optimized geometry, DFT GGA-PBE
data_Dy2ErTm4Ni2Te2
_chemical_formula_sum 'Dy4 Er2 Tm8 Ni4 Te4'
_space_group_name_H-M_alt 'I m m 2'
_space_group_IT_number 44
_space_group_name_Hall 'I 2 -2'
_cell_length_a 3.824
_cell_length_b 15.466
_cell_length_c 9.473
_cell_angle_alpha 90.00
_cell_angle_beta 90.00
_cell_angle_gamma 90.00
loop_
_atom_site_label
_atom_site_type_symbol
_atom_site_fract_x
_atom_site_fract_y
_atom_site_fract_z
Dy1 Dy 0.000 0.133 0.000
Er1 Er 0.000 0.000 0.417
Tm1 Tm 0.000 0.315 0.796
Tm2 Tm 0.000 0.354 0.147
Ni1 Ni 0.000 0.237 0.489
Te1 Te 0.000 0.000 0.754
Te2 Te 0.000 0.500 0.652
# E above lowest polymorph ... 2.7 meV/atom
# E_tot ... -56.5 eV per formula unit

Entry 4:
# Rb2CoSe2S, optimized geometry, DFT GGA-PBE
data_Rb2CoSe2S
_chemical_formula_sum 'Rb8 Co4 Se8 S4'
_space_group_name_H-M_alt 'C 1 2/m 1'
_space_group_IT_number 12
_space_group_name_Hall '-C 2y'
_cell_length_a 13.287
_cell_length_b 6.957
_cell_length_c 9.669
_cell_angle_alpha 90.00
_cell_angle_beta 121.04
_cell_angle_gamma 90.00
loop_
_atom_site_label
_atom_site_type_symbol
_atom_site_fract_x
_atom_site_fract_y
_atom_site_fract_z
Rb1 Rb 0.084 0.000 0.357
Rb2 Rb 0.194 0.500 0.819
Co1 Co 0.095 0.500 0.148
Se1 Se 0.113 0.500 0.392
Se2 Se 0.213 0.000 0.771
S1 S 0.000 0.262 0.000
# E_tot ... -24.1 eV per formula unit

Entry 5:
# CsHf3Te5, optimized geometry, DFT GGA-PBE
data_CsHf3Te5
_chemical_formula_sum 'Cs1 Hf3 Te5'
_space_group_name_H-M_alt 'P 6/m m m'
_space_group_IT_number 191
_space_group_name_Hall '-P 6 2'
_cell_length_a 6.3363
_cell_length_b 6.3363
_cell_length_c 8.6060
_cell_angle_alpha 90.00
_cell_angle_beta 90.00
_cell_angle_gamma 120.00
loop_
_atom_site_label
_atom_site_type_symbol
_atom_site_fract_x
_atom_site_fract_y
_atom_site_fract_z
Cs1 Cs 0.0000 0.0000 0.0000
Hf1 Hf 0.0000 0.5000 0.5000
Te1 Te 0.0000 0.0000 0.5000
Te2 Te 0.3333 0.6667 0.2399
# E_tot ... -54.0 eV per formula unit

Entry 6:
# Pr3Ag4Sn4, optimized geometry, DFT GGA-PBE
data_Pr3Ag4Sn4
_chemical_formula_sum 'Pr6 Ag8 Sn8'
_space_group_name_H-M_alt 'I m m m'
_space_group_IT_number 71
_space_group_name_Hall '-I 2 2'
_cell_length_a 4.693
_cell_length_b 7.411
_cell_length_c 15.602
_cell_angle_alpha 90.00
_cell_angle_beta 90.00
_cell_angle_gamma 90.00
loop_
_atom_site_label
_atom_site_type_symbol
_atom_site_fract_x
_atom_site_fract_y
_atom_site_fract_z
Pr1 Pr 0.000 0.000 0.000
Pr2 Pr 0.000 0.500 0.129
Ag1 Ag 0.000 0.305 0.330
Sn1 Sn 0.000 0.000 0.215
Sn2 Sn 0.000 0.195 0.500
# E_tot ... -47.8 eV per formula unit

Entry 7:
# YAlMo2, optimized geometry, DFT GGA-PBE
data_YAlMo2
_chemical_formula_sum 'Y4 Al4 Mo8'
_space_group_name_H-M_alt 'F -4 3 m'
_space_group_IT_number 216
_space_group_name_Hall 'F -4 2 3'
_cell_length_a 6.637
_cell_length_b 6.637
_cell_length_c 6.637
_cell_angle_alpha 90.00
_cell_angle_beta 90.00
_cell_angle_gamma 90.00
loop_
_atom_site_label
_atom_site_type_symbol
_atom_site_fract_x
_atom_site_fract_y
_atom_site_fract_z
Y1 Y 0.000 0.000 0.000
Al1 Al 0.250 0.250 0.750
Mo1 Mo 0.000 0.000 0.500
Mo2 Mo 0.250 0.250 0.250
# E_tot ... -31.6 eV per formula unit

Entry 8:
# Dy2HoGa3Cu2Ni, optimized geometry, DFT GGA-PBE
data_Dy2HoGa3Cu2Ni
_chemical_formula_sum 'Dy4 Ho2 Ga6 Cu4 Ni2'
_space_group_name_H-M_alt 'A m m 2'
_space_group_IT_number 38
_space_group_name_Hall 'A 2 -2'
_cell_length_a 3.952
_cell_length_b 12.070
_cell_length_c 6.965
_cell_angle_alpha 90.00
_cell_angle_beta 90.00
_cell_angle_gamma 90.00
loop_
_atom_site_label
_atom_site_type_symbol
_atom_site_fract_x
_atom_site_fract_y
_atom_site_fract_z
Dy1 Dy 0.000 0.205 0.000
Ho1 Ho 0.000 0.000 0.614
Ga1 Ga 0.500 0.000 0.967
Ga2 Ga 0.500 0.119 0.324
Cu1 Cu 0.500 0.166 0.705
Ni1 Ni 0.000 0.000 0.206
# E_tot ... -40.7 eV per formula unit

Entry 9:
# LiTbHf, optimized geometry, DFT GGA-PBE
data_LiTbHf
_chemical_formula_sum 'Li4 Tb4 Hf4'
_space_group_name_H-M_alt 'F -4 3 m'
_space_group_IT_number 216
_space_group_name_Hall 'F -4 2 3'
_cell_length_a 6.939
_cell_length_b 6.939
_cell_length_c 6.939
_cell_angle_alpha 90.00
_cell_angle_beta 90.00
_cell_angle_gamma 90.00
loop_
_atom_site_label
_atom_site_type_symbol
_atom_site_fract_x
_atom_site_fract_y
_atom_site_fract_z
Li1 Li 0.000 0.000 0.000
Tb1 Tb 0.000 0.000 0.500
Hf1 Hf 0.250 0.250 0.250
# E_tot ... -13.0 eV per formula unit

Entry 10:
# TbHoBi, optimized geometry, DFT GGA-PBE
data_TbHoBi
_chemical_formula_sum 'Tb4 Ho4 Bi4'
_space_group_name_H-M_alt 'F -4 3 m'
_space_group_IT_number 216
_space_group_name_Hall 'F -4 2 3'
_cell_length_a 7.299
_cell_length_b 7.299
_cell_length_c 7.299
_cell_angle_alpha 90.00
_cell_angle_beta 90.00
_cell_angle_gamma 90.00
loop_
_atom_site_label
_atom_site_type_symbol
_atom_site_fract_x
_atom_site_fract_y
_atom_site_fract_z
Tb1 Tb 0.000 0.000 0.000
Ho1 Ho 0.000 0.000 0.500
Bi1 Bi 0.250 0.250 0.750
# E_tot ... -14.1 eV per formula unit

Entry 11:
# LaTbMg, optimized geometry, DFT GGA-PBE
data_LaTbMg
_chemical_formula_sum 'La4 Tb4 Mg4'
_space_group_name_H-M_alt 'F -4 3 m'
_space_group_IT_number 216
_space_group_name_Hall 'F -4 2 3'
_cell_length_a 7.571
_cell_length_b 7.571
_cell_length_c 7.571
_cell_angle_alpha 90.00
_cell_angle_beta 90.00
_cell_angle_gamma 90.00
loop_
_atom_site_label
_atom_site_type_symbol
_atom_site_fract_x
_atom_site_fract_y
_atom_site_fract_z
La1 La 0.000 0.000 0.000
Tb1 Tb 0.000 0.000 0.500
Mg1 Mg 0.250 0.250 0.250
# E above lowest polymorph ... 0.0 meV/atom
# E_tot ... -10.0 eV per formula unit

Entry 12:
# GdSiNi2, optimized geometry, DFT GGA-PBE
data_GdSiNi2
_chemical_formula_sum 'Gd2 Si2 Ni4'
_space_group_name_H-M_alt 'P 1 21/m 1'
_space_group_IT_number 11
_space_group_name_Hall '-P 2yb'
_cell_length_a 5.193
_cell_length_b 3.998
_cell_length_c 6.592
_cell_angle_alpha 90.00
_cell_angle_beta 109.71
_cell_angle_gamma 90.00
loop_
_atom_site_label
_atom_site_type_symbol
_atom_site_fract_x
_atom_site_fract_y
_atom_site_fract_z
Gd1 Gd 0.249 0.250 0.250
Si1 Si 0.251 0.250 0.750
Ni1 Ni 0.152 0.750 0.549
Ni2 Ni 0.349 0.750 0.949
# E_tot ... -23.9 eV per formula unit

Entry 13:
# SbAu17, optimized geometry, DFT GGA-PBE
data_SbAu17
_chemical_formula_sum 'Sb2 Au34'
_space_group_name_H-M_alt 'P 1 21/m 1'
_space_group_IT_number 11
_space_group_name_Hall '-P 2yb'
_cell_length_a 5.005
_cell_length_b 5.780
_cell_length_c 31.095
_cell_angle_alpha 90.00
_cell_angle_beta 90.05
_cell_angle_gamma 90.00
loop_
_atom_site_label
_atom_site_type_symbol
_atom_site_fract_x
_atom_site_fract_y
_atom_site_fract_z
Sb1 Sb 0.154 0.250 0.321
Au1 Au 0.000 0.000 0.000
Au2 Au 0.001 0.002 0.238
Au3 Au 0.158 0.750 0.322
Au4 Au 0.162 0.250 0.840
Au5 Au 0.166 0.750 0.842
Au6 Au 0.169 0.250 0.079
Au7 Au 0.169 0.750 0.079
Au8 Au 0.330 0.001 0.921
Au9 Au 0.337 0.501 0.158
Au10 Au 0.344 0.005 0.677
Au11 Au 0.499 0.250 0.238
Au12 Au 0.499 0.250 0.761
Au13 Au 0.500 0.250 0.001
# E above lowest polymorph ... 29.5 meV/atom
# E_tot ... -58.8 eV per formula unit

Entry 14:
# MgNbAlOs, optimized geometry, DFT GGA-PBE
data_MgNbAlOs
_chemical_formula_sum 'Mg4 Nb4 Al4 Os4'
_space_group_name_H-M_alt 'F -4 3 m'
_space_group_IT_number 216
_space_group_name_Hall 'F -4 2 3'
_cell_length_a 6.316
_cell_length_b 6.316
_cell_length_c 6.316
_cell_angle_alpha 90.00
_cell_angle_beta 90.00
_cell_angle_gamma 90.00
loop_
_atom_site_label
_atom_site_type_symbol
_atom_site_fract_x
_atom_site_fract_y
_atom_site_fract_z
Mg1 Mg 0.000 0.000 0.000
Nb1 Nb 0.250 0.250 0.250
Al1 Al 0.250 0.250 0.750
Os1 Os 0.000 0.000 0.500
# E above lowest polymorph ... 0.0 meV/atom
# E_tot ... -27.9 eV per formula unit

Entry 15:
# SrNdSn, optimized geometry, DFT GGA-PBE
data_SrNdSn
_chemical_formula_sum 'Sr4 Nd4 Sn4'
_space_group_name_H-M_alt 'F -4 3 m'
_space_group_IT_number 216
_space_group_name_Hall 'F -4 2 3'
_cell_length_a 7.710
_cell_length_b 7.710
_cell_length_c 7.710
_cell_angle_alpha 90.00
_cell_angle_beta 90.00
_cell_angle_gamma 90.00
loop_
_atom_site_label
_atom_site_type_symbol
_atom_site_fract_x
_atom_site_fract_y
_atom_site_fract_z
Sr1 Sr 0.000 0.000 0.000
Nd1 Nd 0.000 0.000 0.500
Sn1 Sn 0.250 0.250 0.750
# E_tot ... -11.7 eV per formula unit

Entry 16:
# NaDyAg, optimized geometry, DFT GGA-PBE
data_NaDyAg
_chemical_formula_sum 'Na4 Dy4 Ag4'
_space_group_name_H-M_alt 'F -4 3 m'
_space_group_IT_number 216
_space_group_name_Hall 'F -4 2 3'
_cell_length_a 7.003
_cell_length_b 7.003
_cell_length_c 7.003
_cell_angle_alpha 90.00
_cell_angle_beta 90.00
_cell_angle_gamma 90.00
loop_
_atom_site_label
_atom_site_type_symbol
_atom_site_fract_x
_atom_site_fract_y
_atom_site_fract_z
Na1 Na 0.000 0.000 0.000
Dy1 Dy 0.250 0.250 0.750
Ag1 Ag 0.000 0.000 0.500
# E above lowest polymorph ... 344.0 meV/atom
# E_tot ... -7.3 eV per formula unit

Entry 17:
# Ho3PN4O, optimized geometry, DFT GGA-PBE
data_Ho3PN4O
_chemical_formula_sum 'Ho12 P4 N16 O4'
_space_group_name_H-M_alt 'I 4/m c m'
_space_group_IT_number 140
_space_group_name_Hall '-I 4 2c'
_cell_length_a 6.311
_cell_length_b 6.311
_cell_length_c 10.541
_cell_angle_alpha 90.00
_cell_angle_beta 90.00
_cell_angle_gamma 90.00
loop_
_atom_site_label
_atom_site_type_symbol
_atom_site_fract_x
_atom_site_fract_y
_atom_site_fract_z
Ho1 Ho 0.000 0.000 0.250
Ho2 Ho 0.175 0.325 0.000
P1 P 0.000 0.500 0.250
N1 N 0.143 0.357 0.349
O1 O 0.000 0.000 0.000
# E_tot ... -73.6 eV per formula unit

Entry 18:
# ZnFeHgAs, optimized geometry, DFT GGA-PBE
data_ZnFeHgAs
_chemical_formula_sum 'Zn4 Fe4 Hg4 As4'
_space_group_name_H-M_alt 'F -4 3 m'
_space_group_IT_number 216
_space_group_name_Hall 'F -4 2 3'
_cell_length_a 6.554
_cell_length_b 6.554
_cell_length_c 6.554
_cell_angle_alpha 90.00
_cell_angle_beta 90.00
_cell_angle_gamma 90.00
loop_
_atom_site_label
_atom_site_type_symbol
_atom_site_fract_x
_atom_site_fract_y
_atom_site_fract_z
Zn1 Zn 0.000 0.000 0.000
Fe1 Fe 0.250 0.250 0.750
Hg1 Hg 0.250 0.250 0.250
As1 As 0.000 0.000 0.500
# E above lowest polymorph ... 86.8 meV/atom
# E_tot ... -12.6 eV per formula unit

Entry 19:
# CsEr2CuTeS3, optimized geometry, DFT GGA-PBE
data_CsEr2CuTeS3
_chemical_formula_sum 'Cs4 Er8 Cu4 Te4 S12'
_space_group_name_H-M_alt 'C m c m'
_space_group_IT_number 63
_space_group_name_Hall '-C 2c 2'
_cell_length_a 4.099
_cell_length_b 14.344
_cell_length_c 14.265
_cell_angle_alpha 90.00
_cell_angle_beta 90.00
_cell_angle_gamma 90.00
loop_
_atom_site_label
_atom_site_type_symbol
_atom_site_fract_x
_atom_site_fract_y
_atom_site_fract_z
Cs1 Cs 0.000 0.130 0.250
Er1 Er 0.000 0.367 0.050
Cu1 Cu 0.000 0.172 0.750
Te1 Te 0.000 0.434 0.250
S1 S 0.000 0.000 0.000
S2 S 0.000 0.248 0.601
# E above lowest polymorph ... 74.6 meV/atom
# E_tot ... -40.9 eV per formula unit

Entry 20:
# RbLiPtW, optimized geometry, DFT GGA-PBE
data_RbLiPtW
_chemical_formula_sum 'Rb4 Li4 Pt4 W4'
_space_group_name_H-M_alt 'F -4 3 m'
_space_group_IT_number 216
_space_group_name_Hall 'F -4 2 3'
_cell_length_a 6.968
_cell_length_b 6.968
_cell_length_c 6.968
_cell_angle_alpha 90.00
_cell_angle_beta 90.00
_cell_angle_gamma 90.00
loop_
_atom_site_label
_atom_site_type_symbol
_atom_site_fract_x
_atom_site_fract_y
_atom_site_fract_z
Rb1 Rb 0.000 0.000 0.000
Li1 Li 0.250 0.250 0.750
Pt1 Pt 0.250 0.250 0.250
W1 W 0.000 0.000 0.500
# E above lowest polymorph ... 213.9 meV/atom
# E_tot ... -16.8 eV per formula unit

Entry 21:
# PuMo, optimized geometry, DFT GGA-PBE
data_PuMo
_chemical_formula_sum 'Pu2 Mo2'
_space_group_name_H-M_alt 'P 63/m m c'
_space_group_IT_number 194
_space_group_name_Hall '-P 6c 2c'
_cell_length_a 4.0109
_cell_length_b 4.0109
_cell_length_c 5.6727
_cell_angle_alpha 90.00
_cell_angle_beta 90.00
_cell_angle_gamma 120.00
loop_
_atom_site_label
_atom_site_type_symbol
_atom_site_fract_x
_atom_site_fract_y
_atom_site_fract_z
Pu1 Pu 0.3333 0.6667 0.2500
Mo1 Mo 0.0000 0.0000 0.0000
# DFT formation energy ... 0.708 eV per atom
# E above lowest polymorph ... 235.1 meV/atom
# E_tot ... -23.6 eV per formula unit

Entry 22:
# BaNdAgS3, optimized geometry, DFT GGA-PBE
data_BaNdAgS3
_chemical_formula_sum 'Ba4 Nd4 Ag4 S12'
_space_group_name_H-M_alt 'C m c m'
_space_group_IT_number 63
_space_group_name_Hall '-C 2c 2'
_cell_length_a 4.209
_cell_length_b 13.862
_cell_length_c 10.625
_cell_angle_alpha 90.00
_cell_angle_beta 90.00
_cell_angle_gamma 90.00
loop_
_atom_site_label
_atom_site_type_symbol
_atom_site_fract_x
_atom_site_fract_y
_atom_site_fract_z
Ba1 Ba 0.000 0.248 0.250
Nd1 Nd 0.000 0.500 0.000
Ag1 Ag 0.000 0.028 0.750
S1 S 0.000 0.136 0.558
S2 S 0.000 0.420 0.750
# E above lowest polymorph ... 0.0 meV/atom
# E_tot ... -31.6 eV per formula unit

Entry 23:
# BaLaIr, optimized geometry, DFT GGA-PBE
data_BaLaIr
_chemical_formula_sum 'Ba4 La4 Ir4'
_space_group_name_H-M_alt 'F -4 3 m'
_space_group_IT_number 216
_space_group_name_Hall 'F -4 2 3'
_cell_length_a 7.300
_cell_length_b 7.300
_cell_length_c 7.300
_cell_angle_alpha 90.00
_cell_angle_beta 90.00
_cell_angle_gamma 90.00
loop_
_atom_site_label
_atom_site_type_symbol
_atom_site_fract_x
_atom_site_fract_y
_atom_site_fract_z
Ba1 Ba 0.000 0.000 0.000
La1 La 0.000 0.000 0.500
Ir1 Ir 0.250 0.250 0.250
# E above lowest polymorph ... 0.0 meV/atom
# E_tot ... -16.5 eV per formula unit